# 1
First-principles (GGA-PBE) data for an optimized crystal structure of Cs2DyGeO4, as listed in Alexandria.

```
Cs2DyGeO4
1.0
5.7719 0.0000 0.0000
2.8859 6.7136 0.0000
2.8859 0.0000 12.2843
Dy Cs O Ge
2 4 8 2
direct
0.7500 0.5000 0.5000
0.0000 0.0000 0.0000
0.1793 0.0000 0.6414
0.8207 0.0000 0.3586
0.9293 0.5000 0.1414
0.5707 0.5000 0.8586
0.4157 0.6571 0.4263
0.1580 0.3429 0.4263
0.9272 0.6571 0.5737
0.4991 0.3429 0.5737
0.3343 0.8429 0.0737
0.5920 0.1571 0.0737
0.8228 0.8429 0.9263
0.2509 0.1571 0.9263
0.5000 0.0000 0.0000
0.2500 0.5000 0.5000
```

As for the space-group type: Fddd. For the energy relative to the elements, uncorrected, the calculation gives -1837 meV/atom. Its density of states at the Fermi level is 4.47 states/eV per cell. Its magnetic moment is 0.000 μB/cell.


# 2
First-principles (GGA-PBE) data for an optimized crystal structure of CsDyGeO4, as listed in Alexandria.

```
CsDyGeO4
1.0
5.7917 0.0000 -0.1318
0.0000 5.9857 0.0000
-2.4410 0.0000 7.7579
O Cs Dy Ge
8 2 2 2
direct
0.5260 0.2500 0.4360
0.9559 0.0253 0.6617
0.0441 0.5253 0.3383
0.0441 0.9747 0.3383
0.4440 0.7500 0.2194
0.4740 0.7500 0.5640
0.9559 0.4747 0.6617
0.5560 0.2500 0.7806
0.6946 0.7500 0.9332
0.3054 0.2500 0.0668
0.7986 0.7500 0.4645
0.2014 0.2500 0.5355
0.2571 0.7500 0.3535
0.7429 0.2500 0.6465
```

As for the space-group type: P2_1/m. For the energy relative to the elements, uncorrected, the calculation gives -2385 meV/atom. Its density of states at the Fermi level is 0.00 states/eV per cell. Its magnetic moment is 0.000 μB/cell.


# 3
First-principles (GGA-PBE) data for an optimized crystal structure of CsDyGeS4, as listed in Alexandria.

```
CsDyGeS4
1.0
-0.6123 1.2162 -6.3636
-6.7328 0.7657 0.7942
1.4681 8.2585 4.4839
S Ge Dy Cs
8 2 2 2
direct
0.4269 0.7500 0.1927
0.5731 0.2500 0.8073
0.4438 0.7500 0.5727
0.0058 0.9980 0.6910
0.0058 0.5020 0.6910
0.9942 0.0020 0.3090
0.9942 0.4980 0.3090
0.5562 0.2500 0.4273
0.7730 0.2500 0.6581
0.2270 0.7500 0.3419
0.2217 0.2500 0.5463
0.7783 0.7500 0.4537
0.7375 0.7500 0.9387
0.2625 0.2500 0.0613
```

As for the space-group type: P2_1/m. For the energy relative to the elements, uncorrected, the calculation gives -1267 meV/atom. Its density of states at the Fermi level is 0.00 states/eV per cell. Its magnetic moment is 0.000 μB/cell.


# 4
First-principles (GGA-PBE) data for an optimized crystal structure of Cs2DyGeS4, as listed in Alexandria.

```
Cs2DyGeS4
1.0
-5.9801 -2.4738 -1.1219
-1.1570 -2.4915 -7.5650
1.2588 -12.9651 2.6518
Dy S Ge Cs
2 8 2 4
direct
0.0000 0.0000 0.0000
0.7500 0.5000 0.5000
0.3149 0.8128 0.0983
0.8723 0.8128 0.9017
0.8777 0.6872 0.5983
0.1632 0.3128 0.4017
0.4351 0.6872 0.4017
0.5240 0.3128 0.5983
0.2260 0.1872 0.9017
0.5868 0.1872 0.0983
0.5000 0.0000 0.0000
0.2500 0.5000 0.5000
0.9299 0.5000 0.1402
0.1799 0.0000 0.6402
0.5701 0.5000 0.8598
0.8201 0.0000 0.3598
```

As for the space-group type: Fddd. For the energy relative to the elements, uncorrected, the calculation gives -1106 meV/atom. Its density of states at the Fermi level is 7.74 states/eV per cell. Its magnetic moment is 0.000 μB/cell.


no.,E (eV/atom)
1,-5.68
2,-6.66
3,-5.06
4,-4.54